1.
# PBE PdBrN2, relaxed
# * energy relative to the lowest polymorph listed for this composition: 0.0 meV per atom
# * total moment: 0.000 μB per atom
# * raw formation energy: 1131 meV/atom
# * DFT total energy: -4.75 eV per atom
data_PdBrN2
_cell_length_a 3.2730
_cell_length_b 3.2730
_cell_length_c 17.9555
_cell_angle_alpha 90.00
_cell_angle_beta 90.00
_cell_angle_gamma 120.00
_symmetry_space_group_name_H-M 'R -3 m'
_symmetry_Int_Tables_number 166
_symmetry_space_group_name_Hall '-R 3 2"'
loop_
_atom_site_label
_atom_site_type_symbol
_atom_site_fract_x
_atom_site_fract_y
_atom_site_fract_z
_atom_site_occupancy
Pd1 Pd 0.0000 0.0000 0.0000 1
Br1 Br 0.0000 0.0000 0.5000 1
N1 N 0.0000 0.0000 0.3861 1



2.
# PBE PdBrN, relaxed
# * energy relative to the lowest polymorph listed for this composition: 0.0 meV per atom
# * total moment: 0.000 μB per atom
# * raw formation energy: -62 meV/atom
# * DFT total energy: -5.13 eV per atom
data_PdBrN
_cell_length_a 11.182
_cell_length_b 5.567
_cell_length_c 5.456
_cell_angle_alpha 90.00
_cell_angle_beta 103.16
_cell_angle_gamma 90.00
_symmetry_space_group_name_H-M 'P 1 21/c 1'
_symmetry_Int_Tables_number 14
loop_
_symmetry_equiv_pos_as_xyz
'x,y,z'
'-x,-y,-z'
'-x,y+1/2,-z+1/2'
'x,-y+1/2,z+1/2'
loop_
_atom_site_label
_atom_site_type_symbol
_atom_site_fract_x
_atom_site_fract_y
_atom_site_fract_z
_atom_site_occupancy
Pd1 Pd 0.000 0.249 0.250 1
Br1 Br 0.186 0.000 0.337 1
N1 N 0.500 0.100 0.000 1



3.
# PBE PdBr2N2, relaxed
# * total moment: 0.404 μB per atom
# * raw formation energy: -103 meV/atom
# * DFT total energy: -5.14 eV per atom
data_PdBr2N2
_cell_length_a 6.776
_cell_length_b 3.902
_cell_length_c 10.787
_cell_angle_alpha 90.00
_cell_angle_beta 93.31
_cell_angle_gamma 90.00
_symmetry_space_group_name_H-M 'C 1 2/m 1'
_symmetry_Int_Tables_number 12
loop_
_symmetry_equiv_pos_as_xyz
'x,y,z'
'-x,-y,-z'
'-x,y,-z'
'x,-y,z'
'x+1/2,y+1/2,z'
'-x+1/2,-y+1/2,-z'
'-x+1/2,y+1/2,-z'
'x+1/2,-y+1/2,z'
loop_
_atom_site_label
_atom_site_type_symbol
_atom_site_fract_x
_atom_site_fract_y
_atom_site_fract_z
_atom_site_occupancy
Pd1 Pd 0.000 0.000 0.000 1
Br1 Br 0.155 0.500 0.865 1
N1 N 0.049 0.000 0.460 1



4.
# PBE PdBrN, relaxed
# * energy relative to the lowest polymorph listed for this composition: 1002.4 meV per atom
# * total moment: 0.000 μB per atom
# * raw formation energy: 940 meV/atom
# * DFT total energy: -4.12 eV per atom
data_PdBrN
_cell_length_a 3.300
_cell_length_b 3.960
_cell_length_c 5.079
_cell_angle_alpha 103.44
_cell_angle_beta 108.62
_cell_angle_gamma 90.49
_symmetry_space_group_name_H-M 'P 1'
_symmetry_Int_Tables_number 1
loop_
_symmetry_equiv_pos_as_xyz
'x,y,z'
loop_
_atom_site_label
_atom_site_type_symbol
_atom_site_fract_x
_atom_site_fract_y
_atom_site_fract_z
_atom_site_occupancy
Pd1 Pd 0.000 0.000 0.000 1
Br1 Br 0.206 0.689 0.407 1
N1 N 0.394 0.045 0.783 1



5.
# PBE PdBrN, relaxed
# * energy relative to the lowest polymorph listed for this composition: 860.0 meV per atom
# * total moment: 0.000 μB per atom
# * raw formation energy: 798 meV/atom
# * DFT total energy: -4.27 eV per atom
data_PdBrN
_cell_length_a 3.3590
_cell_length_b 3.3590
_cell_length_c 15.2809
_cell_angle_alpha 90.00
_cell_angle_beta 90.00
_cell_angle_gamma 120.00
_symmetry_space_group_name_H-M 'R 3 m'
_symmetry_Int_Tables_number 160
_symmetry_space_group_name_Hall 'R 3 -2"'
loop_
_atom_site_label
_atom_site_type_symbol
_atom_site_fract_x
_atom_site_fract_y
_atom_site_fract_z
_atom_site_occupancy
Pd1 Pd 0.0000 0.0000 0.0000 1
Br1 Br 0.0000 0.0000 0.5212 1
N1 N 0.0000 0.0000 0.3844 1



6.
# PBE PdBr4N2, relaxed
# * energy relative to the lowest polymorph listed for this composition: 187.9 meV per atom
# * total moment: 0.451 μB per atom
# * raw formation energy: 1066 meV/atom
# * DFT total energy: -3.01 eV per atom
data_PdBr4N2
_cell_length_a 5.167
_cell_length_b 5.167
_cell_length_c 13.399
_cell_angle_alpha 90.00
_cell_angle_beta 90.00
_cell_angle_gamma 90.00
_symmetry_space_group_name_H-M 'I 4/m m m'
_symmetry_Int_Tables_number 139
_symmetry_space_group_name_Hall '-I 4 2'
loop_
_atom_site_label
_atom_site_type_symbol
_atom_site_fract_x
_atom_site_fract_y
_atom_site_fract_z
_atom_site_occupancy
Pd1 Pd 0.000 0.000 0.000 1
Br1 Br 0.000 0.000 0.251 1
Br2 Br 0.000 0.500 0.000 1
N1 N 0.000 0.000 0.385 1



7.
# PBE PdBrN2, relaxed
# * energy relative to the lowest polymorph listed for this composition: 1194.5 meV per atom
# * total moment: 0.000 μB per atom
# * raw formation energy: 2325 meV/atom
# * DFT total energy: -3.55 eV per atom
data_PdBrN2
_cell_length_a 5.760
_cell_length_b 5.760
_cell_length_c 5.760
_cell_angle_alpha 90.00
_cell_angle_beta 90.00
_cell_angle_gamma 90.00
_symmetry_space_group_name_H-M 'F m -3 m'
_symmetry_Int_Tables_number 225
_symmetry_space_group_name_Hall '-F 4 2 3'
loop_
_atom_site_label
_atom_site_type_symbol
_atom_site_fract_x
_atom_site_fract_y
_atom_site_fract_z
_atom_site_occupancy
Pd1 Pd 0.000 0.000 0.000 1
Br1 Br 0.000 0.000 0.500 1
N1 N 0.250 0.250 0.250 1



8.
# PBE PdBrN, relaxed
# * energy relative to the lowest polymorph listed for this composition: 955.0 meV per atom
# * total moment: 0.000 μB per atom
# * raw formation energy: 893 meV/atom
# * DFT total energy: -4.17 eV per atom
data_PdBrN
_cell_length_a 2.784
_cell_length_b 3.164
_cell_length_c 7.542
_cell_angle_alpha 89.60
_cell_angle_beta 89.84
_cell_angle_gamma 81.34
_symmetry_space_group_name_H-M 'P 1'
_symmetry_Int_Tables_number 1
loop_
_symmetry_equiv_pos_as_xyz
'x,y,z'
loop_
_atom_site_label
_atom_site_type_symbol
_atom_site_fract_x
_atom_site_fract_y
_atom_site_fract_z
_atom_site_occupancy
Pd1 Pd 0.000 0.000 0.000 1
Br1 Br 0.946 0.873 0.493 1
N1 N 0.443 0.439 0.997 1



9.
# PBE PdBrN2, relaxed
# * energy relative to the lowest polymorph listed for this composition: 479.6 meV per atom
# * total moment: 0.000 μB per atom
# * raw formation energy: 1610 meV/atom
# * DFT total energy: -4.27 eV per atom
data_PdBrN2
_cell_length_a 5.697
_cell_length_b 5.697
_cell_length_c 7.647
_cell_angle_alpha 90.00
_cell_angle_beta 90.00
_cell_angle_gamma 90.00
_symmetry_space_group_name_H-M 'I -4 2 d'
_symmetry_Int_Tables_number 122
_symmetry_space_group_name_Hall 'I -4 2bw'
loop_
_atom_site_label
_atom_site_type_symbol
_atom_site_fract_x
_atom_site_fract_y
_atom_site_fract_z
_atom_site_occupancy
Pd1 Pd 0.000 0.000 0.000 1
Br1 Br 0.000 0.000 0.500 1
N1 N 0.175 0.250 0.125 1



10.
# PBE PdBrN, relaxed
# * energy relative to the lowest polymorph listed for this composition: 931.7 meV per atom
# * total moment: 0.000 μB per atom
# * raw formation energy: 870 meV/atom
# * DFT total energy: -4.19 eV per atom
data_PdBrN
_cell_length_a 2.832
_cell_length_b 3.488
_cell_length_c 6.515
_cell_angle_alpha 99.29
_cell_angle_beta 94.34
_cell_angle_gamma 110.02
_symmetry_space_group_name_H-M 'P 1'
_symmetry_Int_Tables_number 1
loop_
_symmetry_equiv_pos_as_xyz
'x,y,z'
loop_
_atom_site_label
_atom_site_type_symbol
_atom_site_fract_x
_atom_site_fract_y
_atom_site_fract_z
_atom_site_occupancy
Pd1 Pd 0.000 0.000 0.000 1
Br1 Br 0.862 0.738 0.579 1
N1 N 0.685 0.432 0.065 1



11.
# PBE PdBrN, relaxed
# * energy relative to the lowest polymorph listed for this composition: 878.9 meV per atom
# * total moment: 0.000 μB per atom
# * raw formation energy: 817 meV/atom
# * DFT total energy: -4.25 eV per atom
data_PdBrN
_cell_length_a 5.981
_cell_length_b 3.412
_cell_length_c 5.669
_cell_angle_alpha 90.00
_cell_angle_beta 110.17
_cell_angle_gamma 90.00
_symmetry_space_group_name_H-M 'C 1 m 1'
_symmetry_Int_Tables_number 8
loop_
_symmetry_equiv_pos_as_xyz
'x,y,z'
'x,-y,z'
'x+1/2,y+1/2,z'
'x+1/2,-y+1/2,z'
loop_
_atom_site_label
_atom_site_type_symbol
_atom_site_fract_x
_atom_site_fract_y
_atom_site_fract_z
_atom_site_occupancy
Pd1 Pd 0.000 0.000 0.000 1
Br1 Br 0.166 0.000 0.497 1
N1 N 0.292 0.000 0.879 1



12.
# PBE PdBrN, relaxed
# * energy relative to the lowest polymorph listed for this composition: 900.1 meV per atom
# * total moment: 0.000 μB per atom
# * raw formation energy: 838 meV/atom
# * DFT total energy: -4.23 eV per atom
data_PdBrN
_cell_length_a 3.680
_cell_length_b 4.664
_cell_length_c 4.642
_cell_angle_alpha 90.00
_cell_angle_beta 106.75
_cell_angle_gamma 90.00
_symmetry_space_group_name_H-M 'P 1 m 1'
_symmetry_Int_Tables_number 6
loop_
_symmetry_equiv_pos_as_xyz
'x,y,z'
'x,-y,z'
loop_
_atom_site_label
_atom_site_type_symbol
_atom_site_fract_x
_atom_site_fract_y
_atom_site_fract_z
_atom_site_occupancy
Pd1 Pd 0.000 0.000 0.000 1
Br1 Br 0.090 0.500 0.247 1
N1 N 0.484 0.000 0.955 1



13.
# PBE PdPt2BrN, relaxed
# * total moment: 0.000 μB per atom
# * raw formation energy: 1289 meV/atom
# * DFT total energy: -4.17 eV per atom
data_PdPt2BrN
_cell_length_a 5.179
_cell_length_b 5.179
_cell_length_c 3.595
_cell_angle_alpha 90.00
_cell_angle_beta 90.00
_cell_angle_gamma 90.00
_symmetry_space_group_name_H-M 'P 4/m m m'
_symmetry_Int_Tables_number 123
_symmetry_space_group_name_Hall '-P 4 2'
loop_
_atom_site_label
_atom_site_type_symbol
_atom_site_fract_x
_atom_site_fract_y
_atom_site_fract_z
_atom_site_occupancy
Pd1 Pd 0.000 0.000 0.000 1
Pt1 Pt 0.000 0.500 0.000 1
Br1 Br 0.500 0.500 0.500 1
N1 N 0.000 0.000 0.500 1



14.
# PBE PdRh2BrN, relaxed
# * total moment: 0.648 μB per atom
# * raw formation energy: 2003 meV/atom
# * DFT total energy: -3.98 eV per atom
data_PdRh2BrN
_cell_length_a 4.650
_cell_length_b 4.650
_cell_length_c 4.762
_cell_angle_alpha 90.00
_cell_angle_beta 90.00
_cell_angle_gamma 90.00
_symmetry_space_group_name_H-M 'P 4/m m m'
_symmetry_Int_Tables_number 123
_symmetry_space_group_name_Hall '-P 4 2'
loop_
_atom_site_label
_atom_site_type_symbol
_atom_site_fract_x
_atom_site_fract_y
_atom_site_fract_z
_atom_site_occupancy
Pd1 Pd 0.000 0.000 0.000 1
Rh1 Rh 0.000 0.500 0.500 1
Br1 Br 0.000 0.000 0.500 1
N1 N 0.500 0.500 0.000 1